Here is CdCo3Rh at its PBEsol-relaxed geometry from Alexandria via LeMat-Bulk. Energies are from SCAN.

Values from the calculation:
The calculation puts the total magnetization at 6.6 Bohr magnetons per cell. The value obtained for the volume is 18.063 A^3/atom. The value obtained for the raw total energy is -106.785 eV/cell.

Cell: 4.487 4.487 4.487 Å, 90.00 90.00 90.00°
Space group Pm-3m (No. 221)
One atom of each set of equivalent atoms:
Cd: 0.000 0.000 0.000 x1
Co: 0.000 0.000 0.500 x3
Rh: 0.500 0.500 0.500 x1